Record 1
Cr2BiAsW (PBE, optimized geometry); electronic total energy = -0.40816 Ry per atom; calculated density = 7.79 Mg/m³; total moment = 2.0 μB/f.u.; E_form = 12.964 eV per formula unit; space-group type = No. 123
1.0
4.855 0.000 0.000
0.000 4.855 0.000
0.000 0.000 5.171
Cr Bi As W
2 1 1 1
Cartesian
0.000 2.427 0.000
2.427 0.000 0.000
0.000 0.000 0.000
2.427 2.427 2.585
0.000 0.000 2.585


Record 2
Na2LiH4Pt (PBE, optimized geometry); electronic total energy = -0.23927 Ry per atom; calculated density = 3.54 Mg/m³; total moment = 0.0 μB/f.u.; space-group type = No. 70
1.0
0.000 5.213 9.263
2.446 0.000 9.263
2.446 5.213 0.000
Na Li H Pt
4 2 8 2
Cartesian
1.834 3.910 0.807
3.057 6.516 5.438
1.834 3.910 13.088
3.057 6.516 17.719
0.611 1.303 2.316
4.280 9.123 16.210
2.933 2.693 6.657
2.933 5.127 7.237
4.156 5.299 11.869
0.735 2.693 7.237
4.156 7.733 11.288
0.735 5.127 6.657
1.958 5.299 11.288
1.958 7.733 11.869
1.834 3.910 6.947
3.057 6.516 11.579


Record 3
La2PmDy6 (PBE, optimized geometry); electronic total energy = -0.32826 Ry per atom; calculated density = 7.62 Mg/m³; total moment = 0.0 μB/f.u.; E_form = 2.022 eV per formula unit; distance to the lowest polymorph of the same formula = 28.9 meV per atom; space-group type = No. 12
1.0
6.620 -3.818 0.000
6.620 3.818 0.000
-0.007 0.000 6.027
La Pm Dy
2 1 6
Cartesian
2.204 0.000 1.303
11.029 0.000 4.724
6.620 0.000 0.000
5.373 2.150 1.765
4.125 0.000 4.266
7.859 2.150 4.262
5.373 -2.150 1.765
9.107 0.000 1.761
7.859 -2.150 4.262


Record 4
PrSmY (PBE, optimized geometry); electronic total energy = -0.38840 Ry per atom; calculated density = 6.16 Mg/m³; total moment = 0.0 μB/f.u.; E_form = 0.109 eV per formula unit; distance to the lowest polymorph of the same formula = 20.9 meV per atom; space-group type = No. 63
1.0
1.799 -10.299 0.000
1.799 10.299 0.000
0.000 0.000 5.531
Pr Sm Y
2 2 2
Cartesian
1.799 6.052 4.148
1.799 -6.052 1.383
1.799 9.463 4.148
1.799 -9.463 1.383
1.799 2.395 4.148
1.799 -2.395 1.383